Record 1
# Li4CdHg (PBE, optimized geometry)
data_Li4CdHg
_chemical_formula_sum 'Li4 Cd1 Hg1'
_symmetry_space_group_name_H-M 'P 4/m m m'
_symmetry_Int_Tables_number 123
_symmetry_space_group_name_Hall '-P 4 2'
_cell_length_a 3.445
_cell_length_b 3.445
_cell_length_c 9.208
_cell_angle_alpha 90.00
_cell_angle_beta 90.00
_cell_angle_gamma 90.00
loop_
_atom_site_label
_atom_site_type_symbol
_atom_site_fract_x
_atom_site_fract_y
_atom_site_fract_z
_atom_site_occupancy
Li1 Li 0.000 0.000 0.160 1
Li2 Li 0.500 0.500 0.331 1
Cd1 Cd 0.000 0.000 0.500 1
Hg1 Hg 0.500 0.500 0.000 1
# final energy	-1.724	eV/atom
# D(E_F)	0.401	states/eV per atom
# excess energy over the best structure of this formula in the dataset	0	meV/atom

***

Record 2
# TaReW2 (PBE, optimized geometry)
data_TaReW2
_chemical_formula_sum 'Ta1 Re1 W2'
_symmetry_space_group_name_H-M 'P 4/m m m'
_symmetry_Int_Tables_number 123
_symmetry_space_group_name_Hall '-P 4 2'
_cell_length_a 3.185
_cell_length_b 3.185
_cell_length_c 6.431
_cell_angle_alpha 90.00
_cell_angle_beta 90.00
_cell_angle_gamma 90.00
loop_
_atom_site_label
_atom_site_type_symbol
_atom_site_fract_x
_atom_site_fract_y
_atom_site_fract_z
_atom_site_occupancy
Ta1 Ta 0.000 0.000 0.000 1
Re1 Re 0.000 0.000 0.500 1
W1 W 0.500 0.500 0.255 1
# final energy	-12.623	eV/atom
# D(E_F)	0.580	states/eV per atom
# excess energy over the best structure of this formula in the dataset	79	meV/atom

***

Record 3
# NdHoGaSi (PBE, optimized geometry)
data_NdHoGaSi
_chemical_formula_sum 'Nd2 Ho2 Ga2 Si2'
_symmetry_space_group_name_H-M 'A m m 2'
_symmetry_Int_Tables_number 38
_symmetry_space_group_name_Hall 'A 2 -2'
_cell_length_a 4.001
_cell_length_b 4.369
_cell_length_c 10.948
_cell_angle_alpha 90.00
_cell_angle_beta 90.00
_cell_angle_gamma 90.00
loop_
_atom_site_label
_atom_site_type_symbol
_atom_site_fract_x
_atom_site_fract_y
_atom_site_fract_z
_atom_site_occupancy
Nd1 Nd 0.000 0.000 0.000 1
Ho1 Ho 0.500 0.000 0.281 1
Ga1 Ga 0.500 0.000 0.572 1
Si1 Si 0.000 0.000 0.719 1
# final energy	-5.163	eV/atom
# D(E_F)	0.797	states/eV per atom
# formation energy (no corrections)	-2.86	eV per formula unit

***

Record 4
# PuMgGa2O8 (PBE, optimized geometry)
data_PuMgGa2O8
_chemical_formula_sum 'Pu2 Mg2 Ga4 O16'
_symmetry_space_group_name_H-M 'I -4 m 2'
_symmetry_Int_Tables_number 119
_symmetry_space_group_name_Hall 'I -4 -2'
_cell_length_a 6.675
_cell_length_b 6.675
_cell_length_c 6.655
_cell_angle_alpha 90.00
_cell_angle_beta 90.00
_cell_angle_gamma 90.00
loop_
_atom_site_label
_atom_site_type_symbol
_atom_site_fract_x
_atom_site_fract_y
_atom_site_fract_z
_atom_site_occupancy
Pu1 Pu 0.000 0.000 0.000 1
Mg1 Mg 0.000 0.500 0.750 1
Ga1 Ga 0.000 0.000 0.500 1
Ga2 Ga 0.000 0.500 0.250 1
O1 O 0.000 0.191 0.703 1
O2 O 0.000 0.299 0.061 1
# final energy	-6.860	eV/atom
# D(E_F)	0.422	states/eV per atom
# formation energy (no corrections)	-20.67	eV per formula unit

***

Record 5
# TiIn2Se4 (PBE, optimized geometry)
data_TiIn2Se4
_chemical_formula_sum 'Ti2 In4 Se8'
_symmetry_space_group_name_H-M 'I 4/m'
_symmetry_Int_Tables_number 87
_symmetry_space_group_name_Hall '-I 4'
_cell_length_a 7.604
_cell_length_b 7.604
_cell_length_c 7.120
_cell_angle_alpha 90.00
_cell_angle_beta 90.00
_cell_angle_gamma 90.00
loop_
_atom_site_label
_atom_site_type_symbol
_atom_site_fract_x
_atom_site_fract_y
_atom_site_fract_z
_atom_site_occupancy
Ti1 Ti 0.000 0.000 0.000 1
In1 In 0.000 0.500 0.250 1
Se1 Se 0.170 0.297 0.000 1
# final energy	-4.372	eV/atom
# D(E_F)	0.425	states/eV per atom
# formation energy (no corrections)	-3.30	eV per formula unit
# excess energy over the best structure of this formula in the dataset	0	meV/atom

***

Record 6
# AsSeS (PBE, optimized geometry)
data_AsSeS
_chemical_formula_sum 'As1 Se1 S1'
_symmetry_space_group_name_H-M 'P 3 m 1'
_symmetry_Int_Tables_number 156
_symmetry_space_group_name_Hall 'P 3 -2"'
_cell_length_a 3.5546
_cell_length_b 3.5546
_cell_length_c 6.9019
_cell_angle_alpha 90.00
_cell_angle_beta 90.00
_cell_angle_gamma 120.00
loop_
_atom_site_label
_atom_site_type_symbol
_atom_site_fract_x
_atom_site_fract_y
_atom_site_fract_z
_atom_site_occupancy
As1 As 0.0000 0.0000 0.0000 1
Se1 Se 0.6667 0.3333 0.2313 1
S1 S 0.3333 0.6667 0.7896 1
# final energy	-4.054	eV/atom
# D(E_F)	0.403	states/eV per atom
# formation energy (no corrections)	0.10	eV per formula unit
# excess energy over the best structure of this formula in the dataset	88	meV/atom